DFT (GGA-PBEsol) results for a geometry-optimized TbInIr structure.

Output
E_form = -0.702 eV/atom
Symmetry = P-62m, No. 189

a = 3.9248 Å, b = 7.4006 Å, c = 7.4006 Å
α = 120.00°, β = 90.00°, γ = 90.00°
Closest atoms and distances in Å follow each position.
Positions (direct):
Ir  0.0000  0.0000  0.0000  6 In 2.73, 3 Tb 3.01
Ir  0.5000  0.6667  0.3333  3 In 2.80, 6 Tb 2.98
Ir  0.5000  0.3333  0.6667  3 In 2.80, 6 Tb 2.98
In  0.5000  0.0000  0.2561  4 Ir 2.73-2.80
In  0.5000  0.2561  0.0000  4 Ir 2.73-2.80
In  0.5000  0.7439  0.7439  4 Ir 2.73-2.80
Tb  0.0000  0.5932  0.0000  5 Ir 2.98-3.01, 6 In 3.17-3.29
Tb  0.0000  0.0000  0.5932  5 Ir 2.98-3.01, 6 In 3.17-3.29
Tb  0.0000  0.4068  0.4068  5 Ir 2.98-3.01, 6 In 3.17-3.29

=====

DFT (GGA-PBEsol) results for a geometry-optimized InTc2Ir structure.

Output
E_form = 0.157 eV/atom
Symmetry = Cm, No. 8

a = 2.7965 Å, b = 4.7585 Å, c = 4.8983 Å
α = 99.69°, β = 90.00°, γ = 107.09°
Closest atoms and distances in Å follow each position.
Positions (direct):
In  0.4960  0.9919  0.4838  3 Ir 2.67-2.78, 7 Tc 2.77-2.94, 2 In 2.80
Ir  0.7400  0.4800  0.2495  7 Tc 2.67-2.98, 3 In 2.67-2.78, 2 Ir 2.80
Tc  0.0061  0.0122  0.9750  5 Tc 2.60-2.80, 2 Ir 2.70, 4 In 2.77-2.87
Tc  0.2579  0.5159  0.7916  5 Tc 2.60-2.80, 2 Ir 2.67, 1 In 2.85

=====

DFT (GGA-PBEsol) results for a geometry-optimized InTc2Ir structure.

Output
E_form = 0.152 eV/atom
Symmetry = Pmm2, No. 25

a = 2.8197 Å, b = 4.4250 Å, c = 4.9115 Å
α = 90.00°, β = 90.00°, γ = 90.00°
Closest atoms and distances in Å follow each position.
Positions (direct):
In  0.5000  0.0000  0.5230  2 Ir 2.69, 8 Tc 2.79-2.88, 2 In 2.82
Tc  0.0000  0.0000  0.0127  4 Tc 2.55-2.82, 2 In 2.79, 4 Ir 2.80
Tc  0.0000  0.5000  0.7527  4 Tc 2.55-2.82, 2 Ir 2.66, 4 In 2.86
Ir  0.5000  0.5000  0.2116  6 Tc 2.66-2.80, 2 In 2.69, 2 Ir 2.82

=====

DFT (GGA-PBEsol) results for a geometry-optimized InTe2Ir structure.

Output
Formation energy (no corrections) = -1 meV/atom
Symmetry = R3m, No. 160

a = 3.8705 Å, b = 3.8705 Å, c = 7.8142 Å
α = 75.66°, β = 75.66°, γ = 60.00°
Closest atoms and distances in Å follow each position.
Positions (direct):
Ir  0.2543  0.2543  0.2371  3 Te 2.57, 3 In 2.84
Te  0.7585  0.7585  0.7246  3 In 2.93
Te  0.9775  0.9775  0.0674  3 Ir 2.57
In  0.5097  0.5097  0.4709  3 Ir 2.84, 3 Te 2.93

=====

DFT (GGA-PBEsol) results for a geometry-optimized InTeIr structure.

Output
Formation energy (no corrections) = 47 meV/atom
Symmetry = P3m1, No. 156

a = 3.7402 Å, b = 3.7402 Å, c = 5.6057 Å
α = 90.00°, β = 90.00°, γ = 120.00°
Closest atoms and distances in Å follow each position.
Positions (direct):
Te  0.6667  0.3333  0.3985  3 Ir 2.58
Ir  0.3333  0.6667  0.6506  3 Te 2.58, 3 In 2.74
In  0.0000  0.0000  0.9509  3 Ir 2.74

=====

DFT (GGA-PBEsol) results for a geometry-optimized InTeIr2 structure.

Output
Formation energy (no corrections) = 288 meV/atom
Excess energy over the best structure of this formula in the dataset = 0 meV per atom
Symmetry = C2/m, No. 12

a = 3.1658 Å, b = 4.5542 Å, c = 5.3849 Å
α = 101.92°, β = 90.00°, γ = 110.34°
Closest atoms and distances in Å follow each position.
Positions (direct):
Ir  0.7496  0.4992  0.7601  3 Te 2.72-2.74, 3 In 2.77-2.80, 2 Ir 3.03
Ir  0.2504  0.5008  0.2399  3 Te 2.72-2.74, 3 In 2.77-2.80, 2 Ir 3.03
Te  0.5000  0.0000  0.0000  6 Ir 2.72-2.74
In  0.0000  0.0000  0.5000  6 Ir 2.77-2.80

=====

no.,M_tot (μB/f.u.),V (Å³ per atom),electronic total energy (eV/atom)
1,0.00,20.68,-6.641
2,0.00,15.33,-8.678
3,0.00,15.32,-8.682
4,0.00,24.29,-4.966
5,0.00,22.64,-5.397
6,0.00,17.75,-6.251